[1]
# PBEsol CuWN2, optimized geometry
data_CuWN2
_chemical_formula_sum 'Cu1 W1 N2'
_cell_length_a 3.6998
_cell_length_b 3.6998
_cell_length_c 3.6998
_cell_angle_alpha 60.00
_cell_angle_beta 60.00
_cell_angle_gamma 60.00
_space_group_name_H-M_alt 'P 1'
_space_group_IT_number 1
loop_
_space_group_symop_operation_xyz
'x,y,z'
loop_
_atom_site_label
_atom_site_type_symbol
_atom_site_fract_x
_atom_site_fract_y
_atom_site_fract_z
Cu1 Cu 0.0000 0.0000 0.0000
W1 W 0.5000 0.5000 0.5000
N1 N 0.7500 0.7500 0.7500
N2 N 0.2500 0.2500 0.2500
# - E_form (uncorrected) (eV per atom) = 0.65
# - magnetic moment (μB per cell) = 0.0

=====

[2]
# PBEsol YCu3N, optimized geometry
data_YCu3N
_chemical_formula_sum 'Y1 Cu3 N1'
_cell_length_a 5.1971
_cell_length_b 5.1971
_cell_length_c 5.1971
_cell_angle_alpha 90.00
_cell_angle_beta 90.00
_cell_angle_gamma 90.00
_space_group_name_H-M_alt 'P 1'
_space_group_IT_number 1
loop_
_space_group_symop_operation_xyz
'x,y,z'
loop_
_atom_site_label
_atom_site_type_symbol
_atom_site_fract_x
_atom_site_fract_y
_atom_site_fract_z
Cu1 Cu 0.0000 0.0000 0.5000
Cu2 Cu 0.0000 0.5000 0.0000
Cu3 Cu 0.5000 0.0000 0.0000
Y1 Y 0.0000 0.0000 0.0000
N1 N 0.5000 0.5000 0.5000
# - E_form (uncorrected) (eV per atom) = 2.37
# - magnetic moment (μB per cell) = 3.0

=====

[3]
# PBEsol ZnCuN3, optimized geometry
data_ZnCuN3
_chemical_formula_sum 'Zn1 Cu1 N3'
_cell_length_a 3.8110
_cell_length_b 3.8110
_cell_length_c 3.8110
_cell_angle_alpha 90.00
_cell_angle_beta 90.00
_cell_angle_gamma 90.00
_space_group_name_H-M_alt 'P 1'
_space_group_IT_number 1
loop_
_space_group_symop_operation_xyz
'x,y,z'
loop_
_atom_site_label
_atom_site_type_symbol
_atom_site_fract_x
_atom_site_fract_y
_atom_site_fract_z
Cu1 Cu 0.5000 0.5000 0.5000
Zn1 Zn 0.0000 0.0000 0.0000
N1 N 0.0000 0.5000 0.0000
N2 N 0.0000 0.0000 0.5000
N3 N 0.5000 0.0000 0.0000
# - E_form (uncorrected) (eV per atom) = 2.18
# - magnetic moment (μB per cell) = 2.8

=====

[4]
# PBEsol ZrCuN2, optimized geometry
data_ZrCuN2
_chemical_formula_sum 'Zr1 Cu1 N2'
_cell_length_a 3.1196
_cell_length_b 3.1196
_cell_length_c 6.1942
_cell_angle_alpha 75.41
_cell_angle_beta 75.41
_cell_angle_gamma 60.00
_space_group_name_H-M_alt 'P 1'
_space_group_IT_number 1
loop_
_space_group_symop_operation_xyz
'x,y,z'
loop_
_atom_site_label
_atom_site_type_symbol
_atom_site_fract_x
_atom_site_fract_y
_atom_site_fract_z
Zr1 Zr 0.0000 0.0000 0.0000
Cu1 Cu 0.5000 0.5000 0.5000
N1 N 0.1163 0.1163 0.6512
N2 N 0.8837 0.8837 0.3488
# - E_form (uncorrected) (eV per atom) = 0.59
# - magnetic moment (μB per cell) = 0.0

=====

| no. | V (Å³/cell) |
| --- | --- |
| 1 | 36 |
| 2 | 140 |
| 3 | 55 |
| 4 | 50 |